No. 1
Computed, not measured: La3TlIr after structural relaxation at the GGA-PBE level of DFT.

Summary:
* calculated formation energy: 0.007 eV/atom
* space-group type: P4mm, No. 99
* E_tot: -5.195 eV/atom
* excess energy over the best structure of this formula in the dataset: 0.548 eV/atom

```
data_La3TlIr
_chemical_formula_sum 'La3 Tl1 Ir1'
_space_group_name_H-M_alt 'P 1'
_space_group_IT_number 1
_space_group_name_Hall 'P 1'
_cell_length_a 4.779
_cell_length_b 4.779
_cell_length_c 8.437
_cell_angle_alpha 90.00
_cell_angle_beta 90.00
_cell_angle_gamma 90.00
loop_
_atom_site_label
_atom_site_type_symbol
_atom_site_fract_x
_atom_site_fract_y
_atom_site_fract_z
_atom_site_occupancy
La1 La 0.000 0.000 0.000 1
La2 La 0.000 0.500 0.669 1
La3 La 0.500 0.000 0.669 1
Tl1 Tl 0.000 0.000 0.382 1
Ir1 Ir 0.500 0.500 0.859 1
```

---

No. 2
Computed, not measured: La6Tl2Ir after structural relaxation at the GGA-PBE level of DFT.

Summary:
* calculated formation energy: -0.419 eV/atom
* space-group type: P-62m, No. 189
* E_tot: -5.215 eV/atom

```
data_La6Tl2Ir
_chemical_formula_sum 'La6 Tl2 Ir1'
_space_group_name_H-M_alt 'P 1'
_space_group_IT_number 1
_space_group_name_Hall 'P 1'
_cell_length_a 9.080
_cell_length_b 9.080
_cell_length_c 3.992
_cell_angle_alpha 90.00
_cell_angle_beta 90.00
_cell_angle_gamma 120.00
loop_
_atom_site_label
_atom_site_type_symbol
_atom_site_fract_x
_atom_site_fract_y
_atom_site_fract_z
_atom_site_occupancy
La1 La 0.000 0.398 0.000 1
La2 La 0.000 0.762 0.500 1
La3 La 0.238 0.238 0.500 1
La4 La 0.398 0.000 0.000 1
La5 La 0.602 0.602 0.000 1
La6 La 0.762 0.000 0.500 1
Tl1 Tl 0.333 0.667 0.500 1
Tl2 Tl 0.667 0.333 0.500 1
Ir1 Ir 0.000 0.000 0.000 1
```

---

No. 3
Computed, not measured: La2TlIr after structural relaxation at the GGA-PBE level of DFT.

Summary:
* calculated formation energy: -0.331 eV/atom
* space-group type: I-42d, No. 122
* E_tot: -5.601 eV/atom
* excess energy over the best structure of this formula in the dataset: 0.275 eV/atom

```
data_La2TlIr
_chemical_formula_sum 'La8 Tl4 Ir4'
_space_group_name_H-M_alt 'P 1'
_space_group_IT_number 1
_space_group_name_Hall 'P 1'
_cell_length_a 8.286
_cell_length_b 8.286
_cell_length_c 7.043
_cell_angle_alpha 90.00
_cell_angle_beta 90.00
_cell_angle_gamma 90.00
loop_
_atom_site_label
_atom_site_type_symbol
_atom_site_fract_x
_atom_site_fract_y
_atom_site_fract_z
_atom_site_occupancy
La1 La 0.192 0.250 0.125 1
La2 La 0.250 0.692 0.375 1
La3 La 0.250 0.808 0.875 1
La4 La 0.308 0.250 0.625 1
La5 La 0.692 0.750 0.625 1
La6 La 0.750 0.192 0.875 1
La7 La 0.750 0.308 0.375 1
La8 La 0.808 0.750 0.125 1
Tl1 Tl 0.000 0.000 0.500 1
Tl2 Tl 0.000 0.500 0.750 1
Tl3 Tl 0.500 0.000 0.250 1
Tl4 Tl 0.500 0.500 0.000 1
Ir1 Ir 0.000 0.000 0.000 1
Ir2 Ir 0.000 0.500 0.250 1
Ir3 Ir 0.500 0.000 0.750 1
Ir4 Ir 0.500 0.500 0.500 1
```

---

No. 4
Computed, not measured: La2TlIr after structural relaxation at the GGA-PBE level of DFT.

Summary:
* calculated formation energy: -0.580 eV/atom
* space-group type: C2/m, No. 12
* E_tot: -5.850 eV/atom
* excess energy over the best structure of this formula in the dataset: 0.026 eV/atom

```
data_La2TlIr
_chemical_formula_sum 'La4 Tl2 Ir2'
_space_group_name_H-M_alt 'P 1'
_space_group_IT_number 1
_space_group_name_Hall 'P 1'
_cell_length_a 7.221
_cell_length_b 4.168
_cell_length_c 8.682
_cell_angle_alpha 90.00
_cell_angle_beta 106.03
_cell_angle_gamma 90.00
loop_
_atom_site_label
_atom_site_type_symbol
_atom_site_fract_x
_atom_site_fract_y
_atom_site_fract_z
_atom_site_occupancy
La1 La 0.230 0.000 0.192 1
La2 La 0.270 0.500 0.808 1
La3 La 0.730 0.500 0.192 1
La4 La 0.770 0.000 0.808 1
Tl1 Tl 0.000 0.000 0.500 1
Tl2 Tl 0.500 0.500 0.500 1
Ir1 Ir 0.000 0.500 0.000 1
Ir2 Ir 0.500 0.000 0.000 1
```

---

No. 5
Computed, not measured: La3TlIr after structural relaxation at the GGA-PBE level of DFT.

Summary:
* calculated formation energy: -0.473 eV/atom
* space-group type: C2/m, No. 12
* E_tot: -5.675 eV/atom
* excess energy over the best structure of this formula in the dataset: 0.067 eV/atom

```
data_La3TlIr
_chemical_formula_sum 'La6 Tl2 Ir2'
_space_group_name_H-M_alt 'P 1'
_space_group_IT_number 1
_space_group_name_Hall 'P 1'
_cell_length_a 6.878
_cell_length_b 6.878
_cell_length_c 9.430
_cell_angle_alpha 92.08
_cell_angle_beta 92.08
_cell_angle_gamma 41.31
loop_
_atom_site_label
_atom_site_type_symbol
_atom_site_fract_x
_atom_site_fract_y
_atom_site_fract_z
_atom_site_occupancy
La1 La 0.049 0.049 0.360 1
La2 La 0.254 0.254 0.665 1
La3 La 0.422 0.422 0.156 1
La4 La 0.578 0.578 0.844 1
La5 La 0.746 0.746 0.335 1
La6 La 0.951 0.951 0.640 1
Tl1 Tl 0.160 0.160 0.050 1
Tl2 Tl 0.840 0.840 0.950 1
Ir1 Ir 0.392 0.392 0.438 1
Ir2 Ir 0.608 0.608 0.562 1
```

---

No. 6
Computed, not measured: LaTlIr2 after structural relaxation at the GGA-PBE level of DFT.

Summary:
* calculated formation energy: 0.239 eV/atom
* space-group type: I-42d, No. 122
* E_tot: -6.015 eV/atom
* excess energy over the best structure of this formula in the dataset: 0.450 eV/atom

```
data_LaTlIr2
_chemical_formula_sum 'La4 Tl4 Ir8'
_space_group_name_H-M_alt 'P 1'
_space_group_IT_number 1
_space_group_name_Hall 'P 1'
_cell_length_a 7.555
_cell_length_b 7.555
_cell_length_c 6.273
_cell_angle_alpha 90.00
_cell_angle_beta 90.00
_cell_angle_gamma 90.00
loop_
_atom_site_label
_atom_site_type_symbol
_atom_site_fract_x
_atom_site_fract_y
_atom_site_fract_z
_atom_site_occupancy
La1 La 0.000 0.000 0.000 1
La2 La 0.000 0.500 0.250 1
La3 La 0.500 0.000 0.750 1
La4 La 0.500 0.500 0.500 1
Tl1 Tl 0.000 0.000 0.500 1
Tl2 Tl 0.000 0.500 0.750 1
Tl3 Tl 0.500 0.000 0.250 1
Tl4 Tl 0.500 0.500 0.000 1
Ir1 Ir 0.237 0.250 0.625 1
Ir2 Ir 0.250 0.737 0.875 1
Ir3 Ir 0.250 0.763 0.375 1
Ir4 Ir 0.263 0.250 0.125 1
Ir5 Ir 0.737 0.750 0.125 1
Ir6 Ir 0.750 0.237 0.375 1
Ir7 Ir 0.750 0.263 0.875 1
Ir8 Ir 0.763 0.750 0.625 1
```

---

No. 7
Computed, not measured: La6Tl3Ir after structural relaxation at the GGA-PBE level of DFT.

Summary:
* calculated formation energy: -0.412 eV/atom
* space-group type: P2_1/c, No. 14
* E_tot: -4.964 eV/atom

```
data_La6Tl3Ir
_chemical_formula_sum 'La12 Tl6 Ir2'
_space_group_name_H-M_alt 'P 1'
_space_group_IT_number 1
_space_group_name_Hall 'P 1'
_cell_length_a 5.692
_cell_length_b 9.449
_cell_length_c 13.152
_cell_angle_alpha 90.00
_cell_angle_beta 115.54
_cell_angle_gamma 90.00
loop_
_atom_site_label
_atom_site_type_symbol
_atom_site_fract_x
_atom_site_fract_y
_atom_site_fract_z
_atom_site_occupancy
La1 La 0.050 0.149 0.066 1
La2 La 0.050 0.351 0.566 1
La3 La 0.278 0.508 0.265 1
La4 La 0.278 0.992 0.765 1
La5 La 0.439 0.193 0.446 1
La6 La 0.439 0.307 0.946 1
La7 La 0.561 0.693 0.054 1
La8 La 0.561 0.807 0.554 1
La9 La 0.722 0.008 0.235 1
La10 La 0.722 0.492 0.735 1
La11 La 0.950 0.649 0.434 1
La12 La 0.950 0.851 0.934 1
Tl1 Tl 0.000 0.000 0.500 1
Tl2 Tl 0.000 0.500 0.000 1
Tl3 Tl 0.244 0.654 0.756 1
Tl4 Tl 0.244 0.846 0.256 1
Tl5 Tl 0.756 0.154 0.744 1
Tl6 Tl 0.756 0.346 0.244 1
Ir1 Ir 0.500 0.000 0.000 1
Ir2 Ir 0.500 0.500 0.500 1
```

---

No. 8
Computed, not measured: La2TlIr after structural relaxation at the GGA-PBE level of DFT.

Summary:
* calculated formation energy: -0.299 eV/atom
* space-group type: P4mm, No. 99
* E_tot: -5.569 eV/atom
* excess energy over the best structure of this formula in the dataset: 0.307 eV/atom

```
data_La2TlIr
_chemical_formula_sum 'La2 Tl1 Ir1'
_space_group_name_H-M_alt 'P 1'
_space_group_IT_number 1
_space_group_name_Hall 'P 1'
_cell_length_a 4.162
_cell_length_b 4.162
_cell_length_c 7.607
_cell_angle_alpha 90.00
_cell_angle_beta 90.00
_cell_angle_gamma 90.00
loop_
_atom_site_label
_atom_site_type_symbol
_atom_site_fract_x
_atom_site_fract_y
_atom_site_fract_z
_atom_site_occupancy
La1 La 0.000 0.000 0.000 1
La2 La 0.500 0.500 0.357 1
Tl1 Tl 0.000 0.000 0.565 1
Ir1 Ir 0.500 0.500 0.006 1
```

---

No. 9
Computed, not measured: La3Tl2Ir after structural relaxation at the GGA-PBE level of DFT.

Summary:
* calculated formation energy: -0.501 eV/atom
* space-group type: P2/m, No. 10
* E_tot: -5.231 eV/atom
* excess energy over the best structure of this formula in the dataset: 0.020 eV/atom

```
data_La3Tl2Ir
_chemical_formula_sum 'La3 Tl2 Ir1'
_space_group_name_H-M_alt 'P 1'
_space_group_IT_number 1
_space_group_name_Hall 'P 1'
_cell_length_a 5.547
_cell_length_b 3.955
_cell_length_c 8.991
_cell_angle_alpha 90.00
_cell_angle_beta 107.92
_cell_angle_gamma 90.00
loop_
_atom_site_label
_atom_site_type_symbol
_atom_site_fract_x
_atom_site_fract_y
_atom_site_fract_z
_atom_site_occupancy
La1 La 0.000 0.000 0.000 1
La2 La 0.372 0.500 0.743 1
La3 La 0.628 0.500 0.257 1
Tl1 Tl 0.196 0.000 0.391 1
Tl2 Tl 0.804 0.000 0.609 1
Ir1 Ir 0.500 0.000 0.000 1
```

---

No. 10
Computed, not measured: La3TlIr after structural relaxation at the GGA-PBE level of DFT.

Summary:
* calculated formation energy: -0.476 eV/atom
* space-group type: R3c, No. 161
* E_tot: -5.678 eV/atom
* excess energy over the best structure of this formula in the dataset: 0.064 eV/atom

```
data_La3TlIr
_chemical_formula_sum 'La6 Tl2 Ir2'
_space_group_name_H-M_alt 'P 1'
_space_group_IT_number 1
_space_group_name_Hall 'P 1'
_cell_length_a 7.091
_cell_length_b 7.091
_cell_length_c 7.091
_cell_angle_alpha 72.18
_cell_angle_beta 72.18
_cell_angle_gamma 72.18
loop_
_atom_site_label
_atom_site_type_symbol
_atom_site_fract_x
_atom_site_fract_y
_atom_site_fract_z
_atom_site_occupancy
La1 La 0.035 0.380 0.584 1
La2 La 0.084 0.880 0.535 1
La3 La 0.380 0.584 0.035 1
La4 La 0.535 0.084 0.880 1
La5 La 0.584 0.035 0.380 1
La6 La 0.880 0.535 0.084 1
Tl1 Tl 0.016 0.016 0.016 1
Tl2 Tl 0.516 0.516 0.516 1
Ir1 Ir 0.218 0.218 0.218 1
Ir2 Ir 0.718 0.718 0.718 1
```

---

No. 11
Computed, not measured: La3TlIr after structural relaxation at the GGA-PBE level of DFT.

Summary:
* calculated formation energy: -0.527 eV/atom
* space-group type: C2/m, No. 12
* E_tot: -5.729 eV/atom
* excess energy over the best structure of this formula in the dataset: 0.014 eV/atom

```
data_La3TlIr
_chemical_formula_sum 'La6 Tl2 Ir2'
_space_group_name_H-M_alt 'P 1'
_space_group_IT_number 1
_space_group_name_Hall 'P 1'
_cell_length_a 7.053
_cell_length_b 7.053
_cell_length_c 9.280
_cell_angle_alpha 109.83
_cell_angle_beta 109.83
_cell_angle_gamma 49.11
loop_
_atom_site_label
_atom_site_type_symbol
_atom_site_fract_x
_atom_site_fract_y
_atom_site_fract_z
_atom_site_occupancy
La1 La 0.104 0.104 0.220 1
La2 La 0.157 0.157 0.639 1
La3 La 0.374 0.374 0.093 1
La4 La 0.626 0.626 0.907 1
La5 La 0.843 0.843 0.361 1
La6 La 0.896 0.896 0.780 1
Tl1 Tl 0.393 0.393 0.549 1
Tl2 Tl 0.607 0.607 0.451 1
Ir1 Ir 0.132 0.132 0.928 1
Ir2 Ir 0.868 0.868 0.072 1
```

---

No. 12
Computed, not measured: La2TlIr2 after structural relaxation at the GGA-PBE level of DFT.

Summary:
* calculated formation energy: -0.550 eV/atom
* space-group type: Immm, No. 71
* E_tot: -6.539 eV/atom

```
data_La2TlIr2
_chemical_formula_sum 'La4 Tl2 Ir4'
_space_group_name_H-M_alt 'P 1'
_space_group_IT_number 1
_space_group_name_Hall 'P 1'
_cell_length_a 4.577
_cell_length_b 6.112
_cell_length_c 8.712
_cell_angle_alpha 90.00
_cell_angle_beta 90.00
_cell_angle_gamma 90.00
loop_
_atom_site_label
_atom_site_type_symbol
_atom_site_fract_x
_atom_site_fract_y
_atom_site_fract_z
_atom_site_occupancy
La1 La 0.000 0.000 0.207 1
La2 La 0.000 0.000 0.793 1
La3 La 0.500 0.500 0.293 1
La4 La 0.500 0.500 0.707 1
Tl1 Tl 0.000 0.500 0.000 1
Tl2 Tl 0.500 0.000 0.500 1
Ir1 Ir 0.000 0.288 0.500 1
Ir2 Ir 0.000 0.712 0.500 1
Ir3 Ir 0.500 0.212 0.000 1
Ir4 Ir 0.500 0.788 0.000 1
```